Record 1
VASP calculation (PBE) on AlSn after structural relaxation.

abc: 10.9226 10.9226 3.1038
angles: 90.00 90.00 90.00
Atoms (fractional coordinates):
Al: 0.0773 0.6036 0.0000
Al: 0.1340 0.3913 0.5000
Al: 0.3913 0.8660 0.5000
Al: 0.3964 0.0773 0.0000
Al: 0.6036 0.9227 0.0000
Al: 0.6087 0.1340 0.5000
Al: 0.8660 0.6087 0.5000
Al: 0.9227 0.3964 0.0000
Sn: 0.1425 0.1488 0.0000
Sn: 0.1488 0.8575 0.0000
Sn: 0.3213 0.5989 0.5000
Sn: 0.4011 0.3213 0.5000
Sn: 0.5989 0.6787 0.5000
Sn: 0.6787 0.4011 0.5000
Sn: 0.8512 0.1425 0.0000
Sn: 0.8575 0.8512 0.0000

## Properties
Space-group type: P4/m
Energy relative to the elements (meV per atom): 128
Raw total energy (eV/atom): -3.74

Record 2
VASP calculation (PBE) on AlSn after structural relaxation.

abc: 7.3857 7.3857 7.3857
angles: 109.47 109.47 109.47
Atoms (fractional coordinates):
Al: 0.0000 0.0000 0.7158
Al: 0.0000 0.7158 0.0000
Al: 0.2842 0.2842 0.2842
Al: 0.7158 0.0000 0.0000
Sn: 0.0000 0.0000 0.3552
Sn: 0.0000 0.3552 0.0000
Sn: 0.3552 0.0000 0.0000
Sn: 0.6448 0.6448 0.6448

## Properties
Space-group type: I-43m
Energy relative to the elements (meV per atom): 441
Raw total energy (eV/atom): -3.43